# 1
! meta-GGA SCAN FeRu2Cl, PBEsol geometry; values from VASP
&SYSTEM
  ibrav = 0, nat = 4, ntyp = 3
/
ATOMIC_SPECIES
Cl 35.45 Cl.upf
Fe 55.84 Fe.upf
Ru 101.07 Ru.upf
ATOMIC_POSITIONS crystal
Cl 0.500 0.500 0.000
Fe 0.500 0.500 0.500
Ru 0.144 0.000 0.758
Ru 0.856 0.000 0.242
CELL_PARAMETERS angstrom
-2.590 0.086 1.037
-1.433 -0.508 -3.537
1.331 -4.898 0.163
! **E_form (uncorrected)**: 232 kJ/mol of formula units
! **Mass density**: 9.2 g cm⁻³

=====

# 2
! meta-GGA SCAN CrRh2Au, PBEsol geometry; values from VASP
&SYSTEM
  ibrav = 0, nat = 4, ntyp = 3
/
ATOMIC_SPECIES
Au 196.97 Au.upf
Cr 52.00 Cr.upf
Rh 102.91 Rh.upf
ATOMIC_POSITIONS crystal
Au 0.500 0.500 0.000
Cr 0.500 0.500 0.500
Rh 0.000 0.000 0.726
Rh 0.000 0.000 0.274
CELL_PARAMETERS angstrom
2.699 0.000 0.000
0.000 3.622 0.000
0.000 0.000 5.648
! **Mass density**: 13.7 g cm⁻³
! **DFT formation energy**: -0.04 eV per atom

=====

# 3
! meta-GGA SCAN Tc2NiOs, PBEsol geometry; values from VASP
&SYSTEM
  ibrav = 0, nat = 4, ntyp = 3
/
ATOMIC_SPECIES
Ni 58.69 Ni.upf
Os 190.23 Os.upf
Tc 98.00 Tc.upf
ATOMIC_POSITIONS crystal
Ni 0.500 0.500 0.000
Os 0.500 0.500 0.500
Tc 0.000 0.000 0.782
Tc 0.000 0.000 0.218
CELL_PARAMETERS angstrom
-1.285 1.673 2.240
-1.661 -2.440 0.869
4.079 -1.536 3.488
! **Mass density**: 14.0 g cm⁻³
! **DFT formation energy**: 0.25 eV per atom

=====

# 4
! meta-GGA SCAN ZrScTl2, PBEsol geometry; values from VASP
&SYSTEM
  ibrav = 0, nat = 4, ntyp = 3
/
ATOMIC_SPECIES
Sc 44.96 Sc.upf
Tl 204.38 Tl.upf
Zr 91.22 Zr.upf
ATOMIC_POSITIONS crystal
Sc 0.500 0.000 0.000
Tl 0.000 0.000 0.500
Tl 0.000 0.500 0.000
Zr 0.500 0.500 0.500
CELL_PARAMETERS angstrom
-1.125 1.473 2.657
-4.312 1.383 -2.592
-2.313 -4.437 1.481
! **Mass density**: 10.3 g cm⁻³
! **DFT formation energy**: -0.29 eV per atom

=====

# 5
! meta-GGA SCAN Li2CdSb, PBEsol geometry; values from VASP
&SYSTEM
  ibrav = 0, nat = 4, ntyp = 3
/
ATOMIC_SPECIES
Sb 121.76 Sb.upf
Cd 112.41 Cd.upf
Li 6.94 Li.upf
ATOMIC_POSITIONS crystal
Sb 0.000 0.000 0.000
Cd 0.500 0.000 0.500
Li 0.750 0.500 0.250
Li 0.250 0.500 0.750
CELL_PARAMETERS angstrom
-3.449 2.999 0.333
-0.316 -3.493 -3.348
-0.580 -1.155 4.397
! **E_form (uncorrected)**: -165 kJ/mol of formula units
! **Mass density**: 5.4 g cm⁻³

=====

# 6
! meta-GGA SCAN AgPOs2, PBEsol geometry; values from VASP
&SYSTEM
  ibrav = 0, nat = 4, ntyp = 3
/
ATOMIC_SPECIES
Ag 107.87 Ag.upf
Os 190.23 Os.upf
P 30.97 P.upf
ATOMIC_POSITIONS crystal
Ag 0.500 0.500 0.500
Os 0.000 0.000 0.802
Os 0.000 0.000 0.198
P 0.500 0.500 0.000
CELL_PARAMETERS angstrom
-0.979 -2.707 -0.034
2.031 -0.759 1.894
-4.179 1.448 5.063
! **Mass density**: 15.5 g cm⁻³
! **DFT formation energy**: 0.36 eV per atom

=====

# 7
! meta-GGA SCAN ScBeAl2, PBEsol geometry; values from VASP
&SYSTEM
  ibrav = 0, nat = 4, ntyp = 3
/
ATOMIC_SPECIES
Sc 44.96 Sc.upf
Be 9.01 Be.upf
Al 26.98 Al.upf
ATOMIC_POSITIONS crystal
Sc 0.244 0.244 0.268
Be 0.495 0.495 0.516
Al 0.004 0.004 0.988
Al 0.757 0.757 0.728
CELL_PARAMETERS angstrom
2.950 0.000 0.000
1.475 2.554 0.000
1.475 0.851 8.753
! **Mass density**: 2.7 g cm⁻³
! **DFT formation energy**: 0.16 eV per atom

=====

# 8
! meta-GGA SCAN KIn3Rh, PBEsol geometry; values from VASP
&SYSTEM
  ibrav = 0, nat = 5, ntyp = 3
/
ATOMIC_SPECIES
K 39.10 K.upf
Rh 102.91 Rh.upf
In 114.82 In.upf
ATOMIC_POSITIONS crystal
K 0.500 0.500 0.500
Rh 0.000 0.000 0.000
In 0.000 0.500 0.000
In 0.000 0.000 0.500
In 0.500 0.000 0.000
CELL_PARAMETERS angstrom
5.135 0.000 0.000
0.000 5.135 0.000
0.000 0.000 5.135
! **Mass density**: 6.0 g cm⁻³
! **DFT formation energy**: -0.33 eV per atom

=====

# 9
! meta-GGA SCAN KCdW2, PBEsol geometry; values from VASP
&SYSTEM
  ibrav = 0, nat = 4, ntyp = 3
/
ATOMIC_SPECIES
Cd 112.41 Cd.upf
K 39.10 K.upf
W 183.84 W.upf
ATOMIC_POSITIONS crystal
Cd 0.491 0.491 0.527
K 0.251 0.251 0.246
W 0.010 0.010 0.971
W 0.748 0.748 0.757
CELL_PARAMETERS angstrom
2.836 0.000 0.000
1.418 2.456 0.000
1.418 0.819 11.057
! **Mass density**: 11.2 g cm⁻³
! **DFT formation energy**: 0.88 eV per atom

=====

# 10
! meta-GGA SCAN Sc2CrRh, PBEsol geometry; values from VASP
&SYSTEM
  ibrav = 0, nat = 4, ntyp = 3
/
ATOMIC_SPECIES
Cr 52.00 Cr.upf
Rh 102.91 Rh.upf
Sc 44.96 Sc.upf
ATOMIC_POSITIONS crystal
Cr 0.000 0.000 0.484
Rh 0.500 0.500 0.772
Sc 0.000 0.000 0.957
Sc 0.500 0.500 0.286
CELL_PARAMETERS angstrom
-0.592 -0.615 -2.844
-3.456 -2.212 1.198
-2.977 4.463 -0.345
! **Mass density**: 6.0 g cm⁻³
! **DFT formation energy**: -0.24 eV per atom

=====

# 11
! meta-GGA SCAN Mg2CuSe, PBEsol geometry; values from VASP
&SYSTEM
  ibrav = 0, nat = 8, ntyp = 3
/
ATOMIC_SPECIES
Cu 63.55 Cu.upf
Mg 24.30 Mg.upf
Se 78.96 Se.upf
ATOMIC_POSITIONS crystal
Cu 0.001 0.250 0.003
Cu 0.999 0.750 0.997
Mg 0.615 0.989 0.231
Mg 0.385 0.489 0.769
Mg 0.615 0.511 0.231
Mg 0.385 0.011 0.769
Se 0.207 0.250 0.414
Se 0.793 0.750 0.586
CELL_PARAMETERS angstrom
3.595 0.000 0.000
0.000 6.343 0.000
-1.798 0.000 6.344
! **E_form (uncorrected)**: -216 kJ/mol of formula units
! **Mass density**: 4.4 g cm⁻³

=====

# 12
! meta-GGA SCAN Mg2Be2As, PBEsol geometry; values from VASP
&SYSTEM
  ibrav = 0, nat = 10, ntyp = 3
/
ATOMIC_SPECIES
Be 9.01 Be.upf
As 74.92 As.upf
Mg 24.30 Mg.upf
ATOMIC_POSITIONS crystal
Be 0.000 0.374 0.874
Be 0.000 0.874 0.626
Be 0.000 0.626 0.126
Be 0.000 0.126 0.374
As 0.000 0.000 0.000
As 0.000 0.500 0.500
Mg 0.500 0.167 0.667
Mg 0.500 0.667 0.833
Mg 0.500 0.833 0.333
Mg 0.500 0.333 0.167
CELL_PARAMETERS angstrom
-0.870 -1.283 -3.773
1.984 -5.568 1.436
-5.601 -1.529 1.812
! **Mass density**: 3.1 g cm⁻³
! **DFT formation energy**: 0.08 eV per atom

=====

# 13
! meta-GGA SCAN MgZn3Fe, PBEsol geometry; values from VASP
&SYSTEM
  ibrav = 0, nat = 5, ntyp = 3
/
ATOMIC_SPECIES
Mg 24.30 Mg.upf
Zn 65.41 Zn.upf
Fe 55.84 Fe.upf
ATOMIC_POSITIONS crystal
Mg 0.000 0.000 0.000
Zn 0.000 0.500 0.000
Zn 0.000 0.000 0.500
Zn 0.500 0.000 0.000
Fe 0.500 0.500 0.500
CELL_PARAMETERS angstrom
4.713 0.000 0.000
0.000 4.713 0.000
0.000 0.000 4.713
! **Mass density**: 4.4 g cm⁻³
! **DFT formation energy**: 1.16 eV per atom

=====

# 14
! meta-GGA SCAN ZrCI2O, PBEsol geometry; values from VASP
&SYSTEM
  ibrav = 0, nat = 5, ntyp = 4
/
ATOMIC_SPECIES
I 126.90 I.upf
C 12.01 C.upf
O 16.00 O.upf
Zr 91.22 Zr.upf
ATOMIC_POSITIONS crystal
I 0.000 0.000 0.500
I 0.000 0.500 0.000
C 0.500 0.500 0.500
O 0.500 0.000 0.000
Zr 0.000 0.000 0.000
CELL_PARAMETERS angstrom
3.945 0.000 0.000
0.000 5.720 0.000
0.000 0.000 5.720
! **E_form (uncorrected)**: 45 kJ/mol of formula units
! **Mass density**: 4.8 g cm⁻³

=====

# 15
! meta-GGA SCAN KOsRh2, PBEsol geometry; values from VASP
&SYSTEM
  ibrav = 0, nat = 4, ntyp = 3
/
ATOMIC_SPECIES
K 39.10 K.upf
Os 190.23 Os.upf
Rh 102.91 Rh.upf
ATOMIC_POSITIONS crystal
K 0.500 0.500 0.000
Os 0.500 0.500 0.500
Rh 0.000 0.000 0.672
Rh 0.000 0.000 0.328
CELL_PARAMETERS angstrom
2.710 0.000 0.020
0.000 3.509 0.000
-0.059 0.000 7.856
! **Mass density**: 9.7 g cm⁻³
! **DFT formation energy**: 0.51 eV per atom

=====

# 16
! meta-GGA SCAN EuY2O4, PBEsol geometry; values from VASP
&SYSTEM
  ibrav = 0, nat = 28, ntyp = 3
/
ATOMIC_SPECIES
Eu 151.96 Eu.upf
Y 88.91 Y.upf
O 16.00 O.upf
ATOMIC_POSITIONS crystal
Eu 0.750 0.249 0.350
Eu 0.250 0.251 0.850
Eu 0.750 0.749 0.150
Eu 0.250 0.751 0.650
Y 0.750 0.417 0.111
Y 0.750 0.426 0.612
Y 0.250 0.074 0.112
Y 0.250 0.083 0.611
Y 0.750 0.917 0.389
Y 0.750 0.926 0.888
Y 0.250 0.574 0.388
Y 0.250 0.583 0.889
O 0.250 0.491 0.716
O 0.750 0.426 0.920
O 0.250 0.368 0.482
O 0.250 0.285 0.183
O 0.750 0.215 0.683
O 0.750 0.132 0.982
O 0.250 0.074 0.420
O 0.750 0.009 0.216
O 0.250 0.991 0.784
O 0.750 0.926 0.580
O 0.250 0.868 0.018
O 0.250 0.785 0.317
O 0.750 0.715 0.817
O 0.750 0.632 0.518
O 0.250 0.574 0.080
O 0.750 0.509 0.284
CELL_PARAMETERS angstrom
-3.284 -0.406 -0.679
-0.901 -5.844 7.845
-2.542 9.371 6.688
! **E_form (uncorrected)**: -2475 kJ/mol of formula units
! **Mass density**: 6.7 g cm⁻³

=====

# 17
! meta-GGA SCAN SiSnSb2Te, PBEsol geometry; values from VASP
&SYSTEM
  ibrav = 0, nat = 5, ntyp = 4
/
ATOMIC_SPECIES
Sb 121.76 Sb.upf
Si 28.09 Si.upf
Te 127.60 Te.upf
Sn 118.71 Sn.upf
ATOMIC_POSITIONS crystal
Sb 0.000 0.500 0.000
Sb 0.500 0.000 0.000
Si 0.000 0.000 0.000
Te 0.000 0.000 0.500
Sn 0.500 0.500 0.500
CELL_PARAMETERS angstrom
-2.798 -2.414 -3.594
-0.464 -4.087 3.107
-4.385 2.048 2.038
! **E_form (uncorrected)**: 280 kJ/mol of formula units
! **Mass density**: 6.2 g cm⁻³

=====

# 18
! meta-GGA SCAN ZnFe2Os, PBEsol geometry; values from VASP
&SYSTEM
  ibrav = 0, nat = 4, ntyp = 3
/
ATOMIC_SPECIES
Zn 65.41 Zn.upf
Os 190.23 Os.upf
Fe 55.84 Fe.upf
ATOMIC_POSITIONS crystal
Zn 0.500 0.500 0.500
Os 0.500 0.500 0.000
Fe 0.000 0.000 0.752
Fe 0.000 0.000 0.248
CELL_PARAMETERS angstrom
2.610 0.000 0.000
0.000 2.610 0.000
0.000 0.000 7.081
! **Mass density**: 12.6 g cm⁻³
! **DFT formation energy**: 0.09 eV per atom

=====

# 19
! meta-GGA SCAN LiV4P3O12, PBEsol geometry; values from VASP
&SYSTEM
  ibrav = 0, nat = 40, ntyp = 4
/
ATOMIC_SPECIES
Li 6.94 Li.upf
V 50.94 V.upf
P 30.97 P.upf
O 16.00 O.upf
ATOMIC_POSITIONS crystal
Li 0.990 0.980 0.319
Li 0.010 0.020 0.819
V 0.370 0.740 0.437
V 0.460 0.419 0.245
V 0.959 0.419 0.245
V 0.362 0.724 0.062
V 0.630 0.260 0.937
V 0.041 0.581 0.745
V 0.540 0.581 0.745
V 0.638 0.276 0.562
P 0.822 0.645 0.460
P 0.523 0.046 0.205
P 0.814 0.628 0.029
P 0.178 0.355 0.960
P 0.477 0.954 0.705
P 0.186 0.372 0.529
O 0.066 0.759 0.424
O 0.693 0.759 0.424
O 0.726 0.451 0.383
O 0.223 0.445 0.378
O 0.372 0.141 0.255
O 0.768 0.141 0.255
O 0.420 0.839 0.249
O 0.213 0.427 0.110
O 0.718 0.435 0.108
O 0.059 0.735 0.061
O 0.677 0.735 0.061
O 0.511 0.022 0.050
O 0.307 0.241 0.924
O 0.934 0.241 0.924
O 0.274 0.549 0.883
O 0.777 0.555 0.878
O 0.580 0.161 0.749
O 0.232 0.859 0.755
O 0.628 0.859 0.755
O 0.787 0.573 0.610
O 0.282 0.565 0.608
O 0.941 0.265 0.561
O 0.323 0.265 0.561
O 0.489 0.978 0.550
CELL_PARAMETERS angstrom
6.537 0.000 0.000
-3.269 7.205 0.000
0.000 0.000 10.044
! **E_form (uncorrected)**: -4673 kJ/mol of formula units
! **Mass density**: 3.5 g cm⁻³

=====

# 20
! meta-GGA SCAN CaNi2WBr, PBEsol geometry; values from VASP
&SYSTEM
  ibrav = 0, nat = 5, ntyp = 4
/
ATOMIC_SPECIES
Ni 58.69 Ni.upf
Ca 40.08 Ca.upf
Br 79.90 Br.upf
W 183.84 W.upf
ATOMIC_POSITIONS crystal
Ni 0.000 0.500 0.000
Ni 0.500 0.000 0.000
Ca 0.000 0.000 0.500
Br 0.500 0.500 0.500
W 0.000 0.000 0.000
CELL_PARAMETERS angstrom
4.423 0.000 0.000
0.000 4.423 0.000
0.000 0.000 6.111
! **E_form (uncorrected)**: 436 kJ/mol of formula units
! **Mass density**: 5.9 g cm⁻³